1.
! GGA-PBE La3ThN4, relaxed; values from VASP
! offset from the most stable computed form = 0 meV per atom
! raw total energy = -8.37 eV per atom
&SYSTEM
  ibrav = 0, nat = 8, ntyp = 3
/
ATOMIC_SPECIES
La 138.91 La.upf
N 14.01 N.upf
Th 232.04 Th.upf
ATOMIC_POSITIONS crystal
La 0.000 0.500 0.000
La 0.000 0.000 0.500
La 0.500 0.500 0.500
N 0.500 0.759 0.241
N 0.000 0.765 0.765
N 0.500 0.241 0.759
N 0.000 0.235 0.235
Th 0.500 0.000 0.000
CELL_PARAMETERS angstrom
3.726 0.000 0.000
0.000 6.103 -2.088
0.000 -0.057 6.450

=====

2.
! GGA-PBE La2ThN, relaxed; values from VASP
! raw total energy = -6.92 eV per atom
&SYSTEM
  ibrav = 0, nat = 4, ntyp = 3
/
ATOMIC_SPECIES
La 138.91 La.upf
N 14.01 N.upf
Th 232.04 Th.upf
ATOMIC_POSITIONS crystal
La 0.119 0.119 0.644
La 0.881 0.881 0.356
N 0.500 0.500 0.500
Th 0.000 0.000 0.000
CELL_PARAMETERS angstrom
-2.447 -2.443 0.883
-1.779 -1.747 -2.553
5.725 -8.566 -0.621